Sr2HgPd | PBE | relaxed

a b c (Å): 8.409 8.409 7.050
angles (deg): 53.39 53.39 90.00
Element x y z (fractional)
Sr  0.375  0.406  0.750
Sr  0.594  0.125  0.250
Sr  0.156  0.625  0.250
Sr  0.875  0.844  0.750
Hg  0.750  0.250  0.500
Hg  0.000  0.000  0.000
Pd  0.250  0.750  0.500
Pd  0.500  0.500  0.000

Sr2Hg6Pd | PBE | relaxed

a b c (Å): 7.549 6.575 9.883
angles (deg): 90.00 79.05 90.00
Element x y z (fractional)
Sr  0.072  0.500  0.284
Sr  0.928  0.500  0.716
Sr  0.572  0.000  0.784
Sr  0.428  0.000  0.216
Hg  0.960  0.000  0.225
Hg  0.207  0.250  0.976
Hg  0.460  0.500  0.725
Hg  0.540  0.500  0.275
Hg  0.793  0.750  0.024
Hg  0.793  0.250  0.024
Hg  0.707  0.250  0.476
Hg  0.293  0.750  0.524
Hg  0.207  0.750  0.976
Hg  0.707  0.750  0.476
Hg  0.040  0.000  0.775
Hg  0.293  0.250  0.524
Pd  0.000  0.000  0.500
Pd  0.500  0.500  0.000

Sr2Hg4Pd | PBE | relaxed

a b c (Å): 5.237 5.237 9.073
angles (deg): 73.23 73.23 90.00
Element x y z (fractional)
Sr  0.636  0.636  0.728
Sr  0.364  0.364  0.272
Hg  0.000  0.500  0.000
Hg  0.169  0.169  0.663
Hg  0.500  0.000  0.000
Hg  0.831  0.831  0.337
Pd  0.000  0.000  0.000

What are the electronic total energy values for these records? In order: -2.504 -1.517 -1.700 eV per atom.
What are the total magnetic moment values for these records? In order: 0.00 0.00 0.00 μB/atom.
What are the density values for these records? In order: 5.98 10.24 7.92 Mg/m³.